Crystalline Ca2NbCoH at its relaxed geometry, computed with GGA-PBEsol.

a = 3.2528 Å, b = 5.1603 Å, c = 5.1603 Å
α = 90.00°, β = 90.00°, γ = 90.00°
Site moments in Bohr magnetons follow the coordinates.
Positions (direct):
H: 0.0000 0.0000 0.0000  0.00
Nb: 0.5000 0.5000 0.5000  0.83
Co: 0.5000 0.0000 0.0000  0.04
Ca: 0.0000 0.0000 0.5000  0.04
Ca: 0.0000 0.5000 0.0000  0.04

The space group is P4/mmm, No. 123. Its total energy is -23.3 eV/f.u.